1.
Material: RbErCr2Cl8
Method: DFT, PBE
State: relaxed

a b c (Å): 6.668 6.833 9.294
angles (deg): 66.78 71.19 69.54
Atoms (fractional coordinates):
Cl 0.544 0.734 0.455
Cl 0.734 0.759 0.051
Cl 0.295 0.777 0.813
Cl 0.163 0.714 0.247
Cl 0.837 0.286 0.753
Cl 0.266 0.241 0.949
Cl 0.456 0.266 0.545
Cl 0.705 0.223 0.187
Cr 0.573 0.524 0.293
Cr 0.427 0.476 0.707
Er 0.000 0.000 0.000
Rb 0.000 0.000 0.500

Output
- Density: 2.99 g cm⁻³
- Space group: P-1
- Magnetic moment: 8.0 μB/cell
- Final energy: -4.818 eV/atom
- Formation energy (no corrections): -1.52 eV/atom

---

2.
Material: RbErCrCl6
Method: DFT, PBE
State: relaxed

a b c (Å): 6.638 6.963 7.410
angles (deg): 93.29 91.73 58.37
Atoms (fractional coordinates):
Cl 0.623 0.368 0.729
Cl 0.375 0.990 0.678
Cl 0.623 0.010 0.271
Cl 0.978 0.387 0.304
Cl 0.978 0.636 0.696
Cl 0.375 0.635 0.322
Er 0.352 0.324 0.500
Cr 0.670 0.665 0.500
Rb 0.027 0.986 0.000

Output
- Density: 2.95 g cm⁻³
- Space group: C2
- Magnetic moment: 4.0 μB/cell
- Final energy: -4.703 eV/atom
- Formation energy (no corrections): -1.79 eV/atom

---

3.
Material: ErTlCrCl6
Method: DFT, PBE
State: relaxed

a b c (Å): 6.630 6.946 7.183
angles (deg): 93.05 91.61 58.43
Atoms (fractional coordinates):
Cl 0.980 0.634 0.702
Cl 0.378 0.988 0.683
Cl 0.979 0.386 0.298
Cl 0.629 0.363 0.735
Cl 0.628 0.008 0.265
Cl 0.377 0.634 0.317
Cr 0.672 0.664 0.500
Tl 0.004 0.998 0.000
Er 0.352 0.324 0.500

Output
- Density: 3.75 g cm⁻³
- Space group: C2
- Magnetic moment: 4.0 μB/cell
- Final energy: -4.635 eV/atom
- Formation energy (no corrections): -1.57 eV/atom